Record 1
# CsTl2S

A relaxed CsTl2S crystal (PBE, Alexandria).

Cell: 7.3993 7.3993 7.3993 Å, 102.55 102.55 124.42°
Fractional coordinates of all 8 atoms:
1 Cs 0.0000 0.0000 0.0000
2 Cs 0.7500 0.2500 0.5000
3 Tl 0.1926 0.6250 0.0676
4 Tl 0.3750 0.4426 0.5676
5 Tl 0.5574 0.1250 0.9324
6 Tl 0.8750 0.8074 0.4324
7 S 0.2500 0.7500 0.5000
8 S 0.5000 0.5000 0.0000

Output
**SG**: No. 122



Record 2
# Cs2TlS2

A relaxed Cs2TlS2 crystal (PBE, Alexandria).

Cell: 8.4092 8.4092 5.1856 Å, 90.00 90.00 90.00°
Fractional coordinates of all 10 atoms:
1 Cs 0.1455 0.3545 0.0000
2 Cs 0.3545 0.8545 0.0000
3 Cs 0.6455 0.1455 0.0000
4 Cs 0.8545 0.6455 0.0000
5 Tl 0.0000 0.0000 0.5000
6 Tl 0.5000 0.5000 0.5000
7 S 0.1765 0.6765 0.5000
8 S 0.3235 0.1765 0.5000
9 S 0.6765 0.8235 0.5000
10 S 0.8235 0.3235 0.5000

Output
**SG**: No. 127



Record 3
# Cs2TlS

A relaxed Cs2TlS crystal (PBE, Alexandria).

Cell: 4.6931 4.7079 10.4150 Å, 89.83 89.73 60.13°
Fractional coordinates of all 4 atoms:
1 Cs 0.0000 0.0000 0.0000
2 Cs 0.0043 0.0010 0.6360
3 Tl 0.3325 0.3430 0.3177
4 S 0.3349 0.3350 0.8180

Output
**SG**: No. 1



Record 4
# CsTl2S

A relaxed CsTl2S crystal (PBE, Alexandria).

Cell: 11.3423 11.3423 11.3423 Å, 22.73 22.73 22.73°
Fractional coordinates of all 4 atoms:
1 Cs 0.0000 0.0000 0.0000
2 Tl 0.1207 0.1207 0.1207
3 Tl 0.8793 0.8793 0.8793
4 S 0.5000 0.5000 0.5000

Output
**SG**: No. 166



Record 5
# CsTl3S8

A relaxed CsTl3S8 crystal (PBE, Alexandria).

Cell: 8.0964 8.0964 8.0658 Å, 117.45 117.45 94.43°
Fractional coordinates of all 12 atoms:
1 Cs 0.0000 0.0000 0.0000
2 Tl 0.2481 0.7477 0.5009
3 Tl 0.5012 0.5012 0.9993
4 Tl 0.7477 0.2481 0.5009
5 S 0.0043 0.0043 0.4644
6 S 0.2014 0.6223 0.9986
7 S 0.3798 0.3798 0.5775
8 S 0.4625 0.9986 0.0010
9 S 0.5421 0.5421 0.5358
10 S 0.6223 0.2014 0.9986
11 S 0.7999 0.7999 0.4208
12 S 0.9986 0.4625 0.0010

Output
**SG**: No. 8



Record 6
# CsTl3S3

A relaxed CsTl3S3 crystal (PBE, Alexandria).

Cell: 8.1045 8.1045 8.1045 Å, 90.00 90.00 90.00°
Fractional coordinates of all 14 atoms:
1 Cs 0.0000 0.0000 0.0000
2 Cs 0.5000 0.5000 0.5000
3 Tl 0.0000 0.2500 0.5000
4 Tl 0.0000 0.7500 0.5000
5 Tl 0.2500 0.5000 0.0000
6 Tl 0.5000 0.0000 0.2500
7 Tl 0.5000 0.0000 0.7500
8 Tl 0.7500 0.5000 0.0000
9 S 0.0000 0.5000 0.2500
10 S 0.0000 0.5000 0.7500
11 S 0.2500 0.0000 0.5000
12 S 0.5000 0.2500 0.0000
13 S 0.5000 0.7500 0.0000
14 S 0.7500 0.0000 0.5000

Output
**SG**: No. 223



Record 7
# Cs2TlS

A relaxed Cs2TlS crystal (PBE, Alexandria).

Cell: 11.9969 11.9969 11.9969 Å, 22.51 22.51 22.51°
Fractional coordinates of all 4 atoms:
1 Cs 0.1134 0.1134 0.1134
2 Cs 0.8866 0.8866 0.8866
3 Tl 0.0000 0.0000 0.0000
4 S 0.5000 0.5000 0.5000

Output
**SG**: No. 166



Record 8
# Cs5TlS4

A relaxed Cs5TlS4 crystal (PBE, Alexandria).

Cell: 10.1286 10.6576 8.2943 Å, 90.00 90.00 90.00°
Fractional coordinates of all 20 atoms:
1 Cs 0.0091 0.0569 0.2364
2 Cs 0.0091 0.4431 0.2364
3 Cs 0.2500 0.7500 0.3549
4 Cs 0.4909 0.0569 0.2364
5 Cs 0.4909 0.4431 0.2364
6 Cs 0.5091 0.5569 0.7636
7 Cs 0.5091 0.9431 0.7636
8 Cs 0.7500 0.2500 0.6451
9 Cs 0.9909 0.5569 0.7636
10 Cs 0.9909 0.9431 0.7636
11 Tl 0.2500 0.2500 0.7098
12 Tl 0.7500 0.7500 0.2902
13 S 0.0332 0.2500 0.8833
14 S 0.2500 0.0438 0.5349
15 S 0.2500 0.4562 0.5349
16 S 0.4668 0.2500 0.8833
17 S 0.5332 0.7500 0.1167
18 S 0.7500 0.5438 0.4651
19 S 0.7500 0.9562 0.4651
20 S 0.9668 0.7500 0.1167

Output
**SG**: No. 59



Record 9
# Cs2TlS2

A relaxed Cs2TlS2 crystal (PBE, Alexandria).

Cell: 10.7398 10.7398 7.7891 Å, 90.00 90.00 152.80°
Fractional coordinates of all 10 atoms:
1 Cs 0.0225 0.9775 0.5000
2 Cs 0.1940 0.8060 0.7365
3 Cs 0.8060 0.1940 0.2365
4 Cs 0.9775 0.0225 0.0000
5 Tl 0.3752 0.6248 0.6097
6 Tl 0.6248 0.3752 0.1097
7 S 0.1565 0.8435 0.2085
8 S 0.4248 0.5752 0.3036
9 S 0.5752 0.4248 0.8036
10 S 0.8435 0.1565 0.7085

Output
**SG**: No. 36



Record 10
# Cs3TlS3

A relaxed Cs3TlS3 crystal (PBE, Alexandria).

Cell: 9.7820 8.5003 13.6574 Å, 90.00 96.34 90.00°
Fractional coordinates of all 28 atoms:
1 Cs 0.0684 0.1543 0.1333
2 Cs 0.0684 0.3457 0.6333
3 Cs 0.3275 0.7115 0.7912
4 Cs 0.3275 0.7885 0.2912
5 Cs 0.3849 0.2154 0.9265
6 Cs 0.3849 0.2846 0.4265
7 Cs 0.6151 0.7154 0.5735
8 Cs 0.6151 0.7846 0.0735
9 Cs 0.6725 0.2115 0.7088
10 Cs 0.6725 0.2885 0.2088
11 Cs 0.9316 0.6543 0.3667
12 Cs 0.9316 0.8457 0.8667
13 Tl 0.1708 0.5815 0.0523
14 Tl 0.1708 0.9185 0.5523
15 Tl 0.8292 0.0815 0.4477
16 Tl 0.8292 0.4185 0.9477
17 S 0.0789 0.0608 0.3859
18 S 0.0789 0.4392 0.8859
19 S 0.2515 0.6407 0.5232
20 S 0.2515 0.8593 0.0232
21 S 0.3478 0.0744 0.6605
22 S 0.3478 0.4256 0.1605
23 S 0.6522 0.5744 0.8395
24 S 0.6522 0.9256 0.3395
25 S 0.7485 0.1407 0.9768
26 S 0.7485 0.3593 0.4768
27 S 0.9211 0.5608 0.1141
28 S 0.9211 0.9392 0.6141

Output
**SG**: No. 14



Record 11
# CsTl2S3

A relaxed CsTl2S3 crystal (PBE, Alexandria).

Cell: 3.9622 12.3961 7.3836 Å, 90.00 90.00 90.00°
Fractional coordinates of all 12 atoms:
1 Cs 0.0000 0.1217 0.0000
2 Cs 0.0000 0.8783 0.5000
3 Tl 0.0000 0.2437 0.4958
4 Tl 0.0000 0.7563 0.9958
5 Tl 0.5000 0.4767 0.9917
6 Tl 0.5000 0.5233 0.4917
7 S 0.0000 0.4142 0.7153
8 S 0.0000 0.5858 0.2153
9 S 0.5000 0.1134 0.6032
10 S 0.5000 0.3124 0.2617
11 S 0.5000 0.6876 0.7617
12 S 0.5000 0.8866 0.1032

Output
**SG**: No. 26



Record 12
# Cs3TlS

A relaxed Cs3TlS crystal (PBE, Alexandria).

Cell: 6.7903 6.7903 6.7903 Å, 90.00 90.00 90.00°
Fractional coordinates of all 5 atoms:
1 Cs 0.0000 0.0000 0.5000
2 Cs 0.0000 0.5000 0.0000
3 Cs 0.5000 0.0000 0.0000
4 Tl 0.5000 0.5000 0.5000
5 S 0.0000 0.0000 0.0000

Output
**SG**: No. 221



Record 13
# Cs2TlS2

A relaxed Cs2TlS2 crystal (PBE, Alexandria).

Cell: 8.5440 8.5440 9.9845 Å, 117.52 117.52 49.32°
Fractional coordinates of all 10 atoms:
1 Cs 0.0367 0.0367 0.2575
2 Cs 0.3322 0.3322 0.9200
3 Cs 0.6678 0.6678 0.0800
4 Cs 0.9633 0.9633 0.7425
5 Tl 0.3672 0.3672 0.3579
6 Tl 0.6328 0.6328 0.6421
7 S 0.1868 0.1868 0.1013
8 S 0.4700 0.4700 0.6862
9 S 0.5300 0.5300 0.3138
10 S 0.8132 0.8132 0.8987

Output
**SG**: No. 12



Record 14
# Cs3Tl2S4

A relaxed Cs3Tl2S4 crystal (PBE, Alexandria).

Cell: 9.4075 9.4075 8.0962 Å, 93.65 93.65 76.86°
Fractional coordinates of all 18 atoms:
1 Cs 0.1095 0.8905 0.7500
2 Cs 0.2435 0.5106 0.4262
3 Cs 0.4894 0.7565 0.0738
4 Cs 0.5106 0.2435 0.9262
5 Cs 0.7565 0.4894 0.5738
6 Cs 0.8905 0.1095 0.2500
7 Tl 0.0838 0.3208 0.9206
8 Tl 0.3208 0.0838 0.4206
9 Tl 0.6792 0.9162 0.5794
10 Tl 0.9162 0.6792 0.0794
11 S 0.1049 0.2343 0.5983
12 S 0.1906 0.5610 0.9865
13 S 0.2343 0.1049 0.0983
14 S 0.4390 0.8094 0.5135
15 S 0.5610 0.1906 0.4865
16 S 0.7657 0.8951 0.9017
17 S 0.8094 0.4390 0.0135
18 S 0.8951 0.7657 0.4017

Output
**SG**: No. 15



Record 15
# Cs3Tl5S12

A relaxed Cs3Tl5S12 crystal (PBE, Alexandria).

Cell: 15.8008 15.8008 15.8008 Å, 109.47 109.47 109.47°
Fractional coordinates of all 80 atoms:
1 Cs 0.1250 0.2500 0.3750
2 Cs 0.1250 0.3750 0.7500
3 Cs 0.2500 0.3750 0.1250
4 Cs 0.2500 0.8750 0.6250
5 Cs 0.3750 0.1250 0.2500
6 Cs 0.3750 0.7500 0.1250
7 Cs 0.6250 0.2500 0.8750
8 Cs 0.6250 0.8750 0.7500
9 Cs 0.7500 0.1250 0.3750
10 Cs 0.7500 0.6250 0.8750
11 Cs 0.8750 0.6250 0.2500
12 Cs 0.8750 0.7500 0.6250
13 Tl 0.0000 0.0000 0.0000
14 Tl 0.0000 0.0000 0.5000
15 Tl 0.0000 0.5000 0.0000
16 Tl 0.0000 0.5000 0.5000
17 Tl 0.1250 0.7500 0.8750
18 Tl 0.1250 0.8750 0.2500
19 Tl 0.2500 0.1250 0.8750
20 Tl 0.2500 0.6250 0.3750
21 Tl 0.3750 0.2500 0.6250
22 Tl 0.3750 0.6250 0.7500
23 Tl 0.5000 0.0000 0.0000
24 Tl 0.5000 0.0000 0.5000
25 Tl 0.5000 0.5000 0.0000
26 Tl 0.5000 0.5000 0.5000
27 Tl 0.6250 0.3750 0.2500
28 Tl 0.6250 0.7500 0.3750
29 Tl 0.7500 0.3750 0.6250
30 Tl 0.7500 0.8750 0.1250
31 Tl 0.8750 0.1250 0.7500
32 Tl 0.8750 0.2500 0.1250
33 S 0.0023 0.2122 0.0418
34 S 0.0023 0.2901 0.9605
35 S 0.0395 0.5418 0.3296
36 S 0.0395 0.9977 0.7099
37 S 0.0418 0.0023 0.2122
38 S 0.0418 0.5395 0.8296
39 S 0.1704 0.7122 0.7099
40 S 0.1704 0.9582 0.4605
41 S 0.2099 0.2122 0.6704
42 S 0.2099 0.4977 0.5395
43 S 0.2122 0.0418 0.0023
44 S 0.2122 0.6704 0.2099
45 S 0.2878 0.2901 0.8296
46 S 0.2878 0.4977 0.4582
47 S 0.2901 0.8296 0.2878
48 S 0.2901 0.9605 0.0023
49 S 0.3296 0.0395 0.5418
50 S 0.3296 0.7901 0.7878
51 S 0.4582 0.2878 0.4977
52 S 0.4582 0.6704 0.9605
53 S 0.4605 0.1704 0.9582
54 S 0.4605 0.7901 0.5023
55 S 0.4977 0.4582 0.2878
56 S 0.4977 0.5395 0.2099
57 S 0.5023 0.4605 0.7901
58 S 0.5023 0.5418 0.7122
59 S 0.5395 0.2099 0.4977
60 S 0.5395 0.8296 0.0418
61 S 0.5418 0.3296 0.0395
62 S 0.5418 0.7122 0.5023
63 S 0.6704 0.2099 0.2122
64 S 0.6704 0.9605 0.4582
65 S 0.7099 0.0395 0.9977
66 S 0.7099 0.1704 0.7122
67 S 0.7122 0.5023 0.5418
68 S 0.7122 0.7099 0.1704
69 S 0.7878 0.3296 0.7901
70 S 0.7878 0.9582 0.9977
71 S 0.7901 0.5023 0.4605
72 S 0.7901 0.7878 0.3296
73 S 0.8296 0.0418 0.5395
74 S 0.8296 0.2878 0.2901
75 S 0.9582 0.4605 0.1704
76 S 0.9582 0.9977 0.7878
77 S 0.9605 0.0023 0.2901
78 S 0.9605 0.4582 0.6704
79 S 0.9977 0.7099 0.0395
80 S 0.9977 0.7878 0.9582

Output
**SG**: No. 230



Record 16
# CsTl2S

A relaxed CsTl2S crystal (PBE, Alexandria).

Cell: 5.7438 5.7438 5.7438 Å, 60.00 60.00 60.00°
Fractional coordinates of all 4 atoms:
1 Cs 0.0000 0.0000 0.0000
2 Tl 0.2500 0.2500 0.2500
3 Tl 0.7500 0.7500 0.7500
4 S 0.5000 0.5000 0.5000

Output
**SG**: No. 225



Record 17
# CsTl2S

A relaxed CsTl2S crystal (PBE, Alexandria).

Cell: 3.9799 3.9799 8.5174 Å, 90.00 90.00 90.00°
Fractional coordinates of all 4 atoms:
1 Cs 0.0000 0.0000 0.0000
2 Tl 0.5000 0.5000 0.3251
3 Tl 0.5000 0.5000 0.6749
4 S 0.0000 0.0000 0.5000

Output
**SG**: No. 123



Record 18
# CsTl3S

A relaxed CsTl3S crystal (PBE, Alexandria).

Cell: 6.0402 6.0402 6.0402 Å, 90.00 90.00 90.00°
Fractional coordinates of all 5 atoms:
1 Cs 0.0000 0.0000 0.0000
2 Tl 0.0000 0.5000 0.5000
3 Tl 0.5000 0.0000 0.5000
4 Tl 0.5000 0.5000 0.0000
5 S 0.5000 0.5000 0.5000

Output
**SG**: No. 221



Record 19
# Cs2Tl2S3

A relaxed Cs2Tl2S3 crystal (PBE, Alexandria).

Cell: 8.5314 8.5314 8.0415 Å, 116.73 116.73 31.61°
Fractional coordinates of all 7 atoms:
1 Cs 0.1020 0.1020 0.3308
2 Cs 0.8980 0.8980 0.6692
3 Tl 0.3325 0.3325 0.1952
4 Tl 0.6675 0.6675 0.8048
5 S 0.2770 0.2770 0.8168
6 S 0.5000 0.5000 0.5000
7 S 0.7230 0.7230 0.1832

Output
**SG**: No. 12



| no. | DFT total energy (eV per cell) |
| --- | --- |
| 1 | -22.2 |
| 2 | -30.0 |
| 3 | -9.7 |
| 4 | -10.5 |
| 5 | -43.0 |
| 6 | -44.7 |
| 7 | -9.8 |
| 8 | -64.3 |
| 9 | -32.3 |
| 10 | -94.4 |
| 11 | -40.7 |
| 12 | -11.0 |
| 13 | -31.5 |
| 14 | -60.8 |
| 15 | -280.9 |
| 16 | -10.1 |
| 17 | -10.6 |
| 18 | -12.3 |
| 19 | -23.4 |